1.
First-principles (PBE-GGA) data for a relaxed structure of Zr2TaW, as listed in Alexandria.

Lattice parameters (Å, degrees): 2.934 2.934 9.673 90.00 90.00 110.76
Element x y z (fractional)
Zr (0.000, 0.000, 0.511)
Zr (0.000, 0.000, 0.989)
Ta (0.500, 0.500, 0.250)
W (0.500, 0.500, 0.750)

Calculated values
V, A^3/atom: 19.47
DFT formation energy, eV per atom: 0.180
Final energy, eV per atom: -10.30
Symmetry: No. 65



2.
First-principles (PBE-GGA) data for a relaxed structure of Ce3Zr, as listed in Alexandria.

Lattice parameters (Å, degrees): 4.648 4.648 5.830 113.49 113.49 90.00
Element x y z (fractional)
Zr (0.000, 0.000, 0.000)
Ce (0.250, 0.750, 0.500)
Ce (0.500, 0.500, 0.000)
Ce (0.750, 0.250, 0.500)

Calculated values
V, A^3/atom: 26.01
DFT formation energy, eV per atom: 0.082
Final energy, eV per atom: -6.51
Symmetry: No. 139



3.
First-principles (PBE-GGA) data for a relaxed structure of La6Sb4Te, as listed in Alexandria.

Lattice parameters (Å, degrees): 9.108 9.108 9.108 90.80 90.80 89.20
Element x y z (fractional)
La (0.942, 0.087, 0.681)
La (0.819, 0.587, 0.558)
La (0.319, 0.942, 0.913)
La (0.087, 0.319, 0.058)
La (0.913, 0.681, 0.942)
La (0.413, 0.558, 0.819)
La (0.681, 0.058, 0.087)
La (0.181, 0.413, 0.442)
La (0.442, 0.819, 0.413)
La (0.558, 0.181, 0.587)
La (0.587, 0.442, 0.181)
La (0.058, 0.913, 0.319)
Sb (0.250, 0.637, 0.137)
Sb (0.750, 0.750, 0.250)
Sb (0.250, 0.250, 0.750)
Sb (0.137, 0.750, 0.637)
Sb (0.363, 0.137, 0.250)
Sb (0.750, 0.363, 0.863)
Sb (0.637, 0.863, 0.750)
Sb (0.863, 0.250, 0.363)
Te (0.000, 0.000, 0.000)
Te (0.500, 0.500, 0.500)

Calculated values
V, A^3/atom: 34.33
Final energy, eV per atom: -5.54
Symmetry: No. 167